*i*
The following is a DFT calculation (PBE-GGA) of HfCoSbPd after structural relaxation.

Unit cell a=6.485 b=6.485 c=6.485 alpha=90.00 beta=90.00 gamma=90.00
Sites, in units of the cell vectors:
Hf: 0.000 0.000 0.000
Hf: 0.000 0.500 0.500
Hf: 0.500 0.000 0.500
Hf: 0.500 0.500 0.000
Co: 0.000 0.000 0.500
Co: 0.000 0.500 0.000
Co: 0.500 0.000 0.000
Co: 0.500 0.500 0.500
Sb: 0.250 0.250 0.250
Sb: 0.250 0.750 0.750
Sb: 0.750 0.250 0.750
Sb: 0.750 0.750 0.250
Pd: 0.250 0.250 0.750
Pd: 0.250 0.750 0.250
Pd: 0.750 0.250 0.250
Pd: 0.750 0.750 0.750

*ii*
The following is a DFT calculation (PBE-GGA) of HfCoSbPd after structural relaxation.

Unit cell a=6.445 b=6.445 c=6.445 alpha=90.00 beta=90.00 gamma=90.00
Sites, in units of the cell vectors:
Hf: 0.000 0.000 0.000
Hf: 0.000 0.500 0.500
Hf: 0.500 0.000 0.500
Hf: 0.500 0.500 0.000
Co: 0.250 0.250 0.750
Co: 0.250 0.750 0.250
Co: 0.750 0.250 0.250
Co: 0.750 0.750 0.750
Sb: 0.000 0.000 0.500
Sb: 0.000 0.500 0.000
Sb: 0.500 0.000 0.000
Sb: 0.500 0.500 0.500
Pd: 0.250 0.250 0.250
Pd: 0.250 0.750 0.750
Pd: 0.750 0.250 0.750
Pd: 0.750 0.750 0.250

Most stable to least stable, the ends of the list are *ii* and *i*.

*i*
The following is a DFT calculation (PBE-GGA) of HfZnCoPd after structural relaxation.

Unit cell a=6.216 b=6.216 c=6.216 alpha=90.00 beta=90.00 gamma=90.00
Sites, in units of the cell vectors:
Hf: 0.000 0.000 0.000
Hf: 0.000 0.500 0.500
Hf: 0.500 0.000 0.500
Hf: 0.500 0.500 0.000
Zn: 0.000 0.000 0.500
Zn: 0.000 0.500 0.000
Zn: 0.500 0.000 0.000
Zn: 0.500 0.500 0.500
Co: 0.250 0.250 0.750
Co: 0.250 0.750 0.250
Co: 0.750 0.250 0.250
Co: 0.750 0.750 0.750
Pd: 0.250 0.250 0.250
Pd: 0.250 0.750 0.750
Pd: 0.750 0.250 0.750
Pd: 0.750 0.750 0.250

*ii*
The following is a DFT calculation (PBE-GGA) of HfZnCoPd after structural relaxation.

Unit cell a=6.278 b=6.278 c=6.278 alpha=90.00 beta=90.00 gamma=90.00
Sites, in units of the cell vectors:
Hf: 0.000 0.000 0.000
Hf: 0.000 0.500 0.500
Hf: 0.500 0.000 0.500
Hf: 0.500 0.500 0.000
Zn: 0.250 0.250 0.250
Zn: 0.250 0.750 0.750
Zn: 0.750 0.250 0.750
Zn: 0.750 0.750 0.250
Co: 0.000 0.000 0.500
Co: 0.000 0.500 0.000
Co: 0.500 0.000 0.000
Co: 0.500 0.500 0.500
Pd: 0.250 0.250 0.750
Pd: 0.250 0.750 0.250
Pd: 0.750 0.250 0.250
Pd: 0.750 0.750 0.750

Most stable to least stable, the ends of the list are *i* and *ii*.

*i*
The following is a DFT calculation (PBE-GGA) of HfCoSbPt after structural relaxation.

Unit cell a=6.502 b=6.502 c=6.502 alpha=90.00 beta=90.00 gamma=90.00
Sites, in units of the cell vectors:
Hf: 0.000 0.000 0.000
Hf: 0.000 0.500 0.500
Hf: 0.500 0.000 0.500
Hf: 0.500 0.500 0.000
Co: 0.000 0.000 0.500
Co: 0.000 0.500 0.000
Co: 0.500 0.000 0.000
Co: 0.500 0.500 0.500
Sb: 0.250 0.250 0.250
Sb: 0.250 0.750 0.750
Sb: 0.750 0.250 0.750
Sb: 0.750 0.750 0.250
Pt: 0.250 0.250 0.750
Pt: 0.250 0.750 0.250
Pt: 0.750 0.250 0.250
Pt: 0.750 0.750 0.750

*ii*
The following is a DFT calculation (PBE-GGA) of HfCoSbPt after structural relaxation.

Unit cell a=6.499 b=6.499 c=6.499 alpha=90.00 beta=90.00 gamma=90.00
Sites, in units of the cell vectors:
Hf: 0.000 0.000 0.000
Hf: 0.000 0.500 0.500
Hf: 0.500 0.000 0.500
Hf: 0.500 0.500 0.000
Co: 0.250 0.250 0.750
Co: 0.250 0.750 0.250
Co: 0.750 0.250 0.250
Co: 0.750 0.750 0.750
Sb: 0.000 0.000 0.500
Sb: 0.000 0.500 0.000
Sb: 0.500 0.000 0.000
Sb: 0.500 0.500 0.500
Pt: 0.250 0.250 0.250
Pt: 0.250 0.750 0.750
Pt: 0.750 0.250 0.750
Pt: 0.750 0.750 0.250

Most stable to least stable, the ends of the list are *ii* and *i*.

*i*
The following is a DFT calculation (PBE-GGA) of HfCoSiPt after structural relaxation.

Unit cell a=6.246 b=6.246 c=6.246 alpha=90.00 beta=90.00 gamma=90.00
Sites, in units of the cell vectors:
Hf: 0.000 0.000 0.000
Hf: 0.000 0.500 0.500
Hf: 0.500 0.000 0.500
Hf: 0.500 0.500 0.000
Co: 0.000 0.000 0.500
Co: 0.000 0.500 0.000
Co: 0.500 0.000 0.000
Co: 0.500 0.500 0.500
Si: 0.250 0.250 0.250
Si: 0.250 0.750 0.750
Si: 0.750 0.250 0.750
Si: 0.750 0.750 0.250
Pt: 0.250 0.250 0.750
Pt: 0.250 0.750 0.250
Pt: 0.750 0.250 0.250
Pt: 0.750 0.750 0.750

*ii*
The following is a DFT calculation (PBE-GGA) of HfCoSiPt after structural relaxation.

Unit cell a=6.202 b=6.202 c=6.202 alpha=90.00 beta=90.00 gamma=90.00
Sites, in units of the cell vectors:
Hf: 0.000 0.000 0.000
Hf: 0.000 0.500 0.500
Hf: 0.500 0.000 0.500
Hf: 0.500 0.500 0.000
Co: 0.250 0.250 0.750
Co: 0.250 0.750 0.250
Co: 0.750 0.250 0.250
Co: 0.750 0.750 0.750
Si: 0.000 0.000 0.500
Si: 0.000 0.500 0.000
Si: 0.500 0.000 0.000
Si: 0.500 0.500 0.500
Pt: 0.250 0.250 0.250
Pt: 0.250 0.750 0.750
Pt: 0.750 0.250 0.750
Pt: 0.750 0.750 0.250

Most stable to least stable, the ends of the list are *ii* and *i*.

*i*
The following is a DFT calculation (PBE-GGA) of HfZnCoPt after structural relaxation.

Unit cell a=6.244 b=6.244 c=6.244 alpha=90.00 beta=90.00 gamma=90.00
Sites, in units of the cell vectors:
Hf: 0.000 0.000 0.000
Hf: 0.000 0.500 0.500
Hf: 0.500 0.000 0.500
Hf: 0.500 0.500 0.000
Zn: 0.000 0.000 0.500
Zn: 0.000 0.500 0.000
Zn: 0.500 0.000 0.000
Zn: 0.500 0.500 0.500
Co: 0.250 0.250 0.750
Co: 0.250 0.750 0.250
Co: 0.750 0.250 0.250
Co: 0.750 0.750 0.750
Pt: 0.250 0.250 0.250
Pt: 0.250 0.750 0.750
Pt: 0.750 0.250 0.750
Pt: 0.750 0.750 0.250

*ii*
The following is a DFT calculation (PBE-GGA) of HfZnCoPt after structural relaxation.

Unit cell a=6.299 b=6.299 c=6.299 alpha=90.00 beta=90.00 gamma=90.00
Sites, in units of the cell vectors:
Hf: 0.000 0.000 0.000
Hf: 0.000 0.500 0.500
Hf: 0.500 0.000 0.500
Hf: 0.500 0.500 0.000
Zn: 0.250 0.250 0.250
Zn: 0.250 0.750 0.750
Zn: 0.750 0.250 0.750
Zn: 0.750 0.750 0.250
Co: 0.000 0.000 0.500
Co: 0.000 0.500 0.000
Co: 0.500 0.000 0.000
Co: 0.500 0.500 0.500
Pt: 0.250 0.250 0.750
Pt: 0.250 0.750 0.250
Pt: 0.750 0.250 0.250
Pt: 0.750 0.750 0.750

Most stable to least stable, the ends of the list are *i* and *ii*.

*i*
The following is a DFT calculation (PBE-GGA) of Hf2CoRe after structural relaxation.

Unit cell a=6.390 b=6.514 c=6.388 alpha=90.00 beta=90.00 gamma=90.00
Sites, in units of the cell vectors:
Hf: 0.250 0.000 0.250
Hf: 0.250 0.000 0.750
Hf: 0.250 0.500 0.250
Hf: 0.250 0.500 0.750
Hf: 0.750 0.000 0.250
Hf: 0.750 0.000 0.750
Hf: 0.750 0.500 0.250
Hf: 0.750 0.500 0.750
Co: 0.000 0.250 0.001
Co: 0.000 0.750 0.999
Co: 0.500 0.250 0.499
Co: 0.500 0.750 0.501
Re: 0.000 0.250 0.500
Re: 0.000 0.750 0.500
Re: 0.500 0.250 0.000
Re: 0.500 0.750 0.000

*ii*
The following is a DFT calculation (PBE-GGA) of Hf2CoRe after structural relaxation.

Unit cell a=3.230 b=3.230 c=6.371 alpha=90.00 beta=90.00 gamma=90.00
Sites, in units of the cell vectors:
Hf: 0.000 0.000 0.247
Hf: 0.000 0.000 0.753
Co: 0.500 0.500 0.000
Re: 0.500 0.500 0.500

Most stable to least stable, the ends of the list are *ii* and *i*.

*i*
The following is a DFT calculation (PBE-GGA) of Hf2CoRe after structural relaxation.

Unit cell a=6.430 b=6.430 c=6.430 alpha=90.00 beta=90.00 gamma=90.00
Sites, in units of the cell vectors:
Hf: 0.250 0.250 0.250
Hf: 0.250 0.250 0.750
Hf: 0.250 0.750 0.250
Hf: 0.250 0.750 0.750
Hf: 0.750 0.250 0.250
Hf: 0.750 0.250 0.750
Hf: 0.750 0.750 0.250
Hf: 0.750 0.750 0.750
Co: 0.000 0.000 0.000
Co: 0.000 0.500 0.500
Co: 0.500 0.000 0.500
Co: 0.500 0.500 0.000
Re: 0.000 0.000 0.500
Re: 0.000 0.500 0.000
Re: 0.500 0.000 0.000
Re: 0.500 0.500 0.500

*ii*
The following is a DFT calculation (PBE-GGA) of Hf2CoRe after structural relaxation.

Unit cell a=6.382 b=6.382 c=6.382 alpha=90.00 beta=90.00 gamma=90.00
Sites, in units of the cell vectors:
Hf: 0.000 0.000 0.000
Hf: 0.000 0.500 0.500
Hf: 0.250 0.250 0.250
Hf: 0.250 0.750 0.750
Hf: 0.500 0.000 0.500
Hf: 0.500 0.500 0.000
Hf: 0.750 0.250 0.750
Hf: 0.750 0.750 0.250
Co: 0.250 0.250 0.750
Co: 0.250 0.750 0.250
Co: 0.750 0.250 0.250
Co: 0.750 0.750 0.750
Re: 0.000 0.000 0.500
Re: 0.000 0.500 0.000
Re: 0.500 0.000 0.000
Re: 0.500 0.500 0.500

Most stable to least stable, the ends of the list are *i* and *ii*.

*i*
The following is a DFT calculation (PBE-GGA) of HfTlCoRe after structural relaxation.

Unit cell a=6.504 b=6.504 c=6.504 alpha=90.00 beta=90.00 gamma=90.00
Sites, in units of the cell vectors:
Hf: 0.000 0.000 0.000
Hf: 0.000 0.500 0.500
Hf: 0.500 0.000 0.500
Hf: 0.500 0.500 0.000
Tl: 0.250 0.250 0.250
Tl: 0.250 0.750 0.750
Tl: 0.750 0.250 0.750
Tl: 0.750 0.750 0.250
Co: 0.000 0.000 0.500
Co: 0.000 0.500 0.000
Co: 0.500 0.000 0.000
Co: 0.500 0.500 0.500
Re: 0.250 0.250 0.750
Re: 0.250 0.750 0.250
Re: 0.750 0.250 0.250
Re: 0.750 0.750 0.750

*ii*
The following is a DFT calculation (PBE-GGA) of HfTlCoRe after structural relaxation.

Unit cell a=6.482 b=6.482 c=6.482 alpha=90.00 beta=90.00 gamma=90.00
Sites, in units of the cell vectors:
Hf: 0.000 0.000 0.000
Hf: 0.000 0.500 0.500
Hf: 0.500 0.000 0.500
Hf: 0.500 0.500 0.000
Tl: 0.000 0.000 0.500
Tl: 0.000 0.500 0.000
Tl: 0.500 0.000 0.000
Tl: 0.500 0.500 0.500
Co: 0.250 0.250 0.750
Co: 0.250 0.750 0.250
Co: 0.750 0.250 0.250
Co: 0.750 0.750 0.750
Re: 0.250 0.250 0.250
Re: 0.250 0.750 0.750
Re: 0.750 0.250 0.750
Re: 0.750 0.750 0.250

Most stable to least stable, the ends of the list are *ii* and *i*.

*i*
The following is a DFT calculation (PBE-GGA) of HfZnCoSb after structural relaxation.

Unit cell a=6.520 b=6.520 c=6.520 alpha=90.00 beta=90.00 gamma=90.00
Sites, in units of the cell vectors:
Hf: 0.000 0.000 0.000
Hf: 0.000 0.500 0.500
Hf: 0.500 0.000 0.500
Hf: 0.500 0.500 0.000
Zn: 0.250 0.250 0.750
Zn: 0.250 0.750 0.250
Zn: 0.750 0.250 0.250
Zn: 0.750 0.750 0.750
Co: 0.000 0.000 0.500
Co: 0.000 0.500 0.000
Co: 0.500 0.000 0.000
Co: 0.500 0.500 0.500
Sb: 0.250 0.250 0.250
Sb: 0.250 0.750 0.750
Sb: 0.750 0.250 0.750
Sb: 0.750 0.750 0.250

*ii*
The following is a DFT calculation (PBE-GGA) of HfZnCoSb after structural relaxation.

Unit cell a=6.477 b=6.477 c=6.477 alpha=90.00 beta=90.00 gamma=90.00
Sites, in units of the cell vectors:
Hf: 0.000 0.000 0.000
Hf: 0.000 0.500 0.500
Hf: 0.500 0.000 0.500
Hf: 0.500 0.500 0.000
Zn: 0.250 0.250 0.250
Zn: 0.250 0.750 0.750
Zn: 0.750 0.250 0.750
Zn: 0.750 0.750 0.250
Co: 0.250 0.250 0.750
Co: 0.250 0.750 0.250
Co: 0.750 0.250 0.250
Co: 0.750 0.750 0.750
Sb: 0.000 0.000 0.500
Sb: 0.000 0.500 0.000
Sb: 0.500 0.000 0.000
Sb: 0.500 0.500 0.500

Most stable to least stable, the ends of the list are *ii* and *i*.

*i*
The following is a DFT calculation (PBE-GGA) of HfZnCoSi after structural relaxation.

Unit cell a=6.156 b=6.156 c=6.156 alpha=90.00 beta=90.00 gamma=90.00
Sites, in units of the cell vectors:
Hf: 0.000 0.000 0.000
Hf: 0.000 0.500 0.500
Hf: 0.500 0.000 0.500
Hf: 0.500 0.500 0.000
Zn: 0.250 0.250 0.750
Zn: 0.250 0.750 0.250
Zn: 0.750 0.250 0.250
Zn: 0.750 0.750 0.750
Co: 0.000 0.000 0.500
Co: 0.000 0.500 0.000
Co: 0.500 0.000 0.000
Co: 0.500 0.500 0.500
Si: 0.250 0.250 0.250
Si: 0.250 0.750 0.750
Si: 0.750 0.250 0.750
Si: 0.750 0.750 0.250

*ii*
The following is a DFT calculation (PBE-GGA) of HfZnCoSi after structural relaxation.

Unit cell a=6.098 b=6.098 c=6.098 alpha=90.00 beta=90.00 gamma=90.00
Sites, in units of the cell vectors:
Hf: 0.000 0.000 0.000
Hf: 0.000 0.500 0.500
Hf: 0.500 0.000 0.500
Hf: 0.500 0.500 0.000
Zn: 0.250 0.250 0.250
Zn: 0.250 0.750 0.750
Zn: 0.750 0.250 0.750
Zn: 0.750 0.750 0.250
Co: 0.250 0.250 0.750
Co: 0.250 0.750 0.250
Co: 0.750 0.250 0.250
Co: 0.750 0.750 0.750
Si: 0.000 0.000 0.500
Si: 0.000 0.500 0.000
Si: 0.500 0.000 0.000
Si: 0.500 0.500 0.500

Most stable to least stable, the ends of the list are *ii* and *i*.

*i*
The following is a DFT calculation (PBE-GGA) of HfZnCoSn after structural relaxation.

Unit cell a=6.399 b=6.399 c=6.399 alpha=90.00 beta=90.00 gamma=90.00
Sites, in units of the cell vectors:
Hf: 0.000 0.000 0.000
Hf: 0.000 0.500 0.500
Hf: 0.500 0.000 0.500
Hf: 0.500 0.500 0.000
Zn: 0.250 0.250 0.250
Zn: 0.250 0.750 0.750
Zn: 0.750 0.250 0.750
Zn: 0.750 0.750 0.250
Co: 0.250 0.250 0.750
Co: 0.250 0.750 0.250
Co: 0.750 0.250 0.250
Co: 0.750 0.750 0.750
Sn: 0.000 0.000 0.500
Sn: 0.000 0.500 0.000
Sn: 0.500 0.000 0.000
Sn: 0.500 0.500 0.500

*ii*
The following is a DFT calculation (PBE-GGA) of HfZnCoSn after structural relaxation.

Unit cell a=6.485 b=6.485 c=6.485 alpha=90.00 beta=90.00 gamma=90.00
Sites, in units of the cell vectors:
Hf: 0.000 0.000 0.000
Hf: 0.000 0.500 0.500
Hf: 0.500 0.000 0.500
Hf: 0.500 0.500 0.000
Zn: 0.250 0.250 0.750
Zn: 0.250 0.750 0.250
Zn: 0.750 0.250 0.250
Zn: 0.750 0.750 0.750
Co: 0.000 0.000 0.500
Co: 0.000 0.500 0.000
Co: 0.500 0.000 0.000
Co: 0.500 0.500 0.500
Sn: 0.250 0.250 0.250
Sn: 0.250 0.750 0.750
Sn: 0.750 0.250 0.750
Sn: 0.750 0.750 0.250

Most stable to least stable, the ends of the list are *i* and *ii*.

*i*
The following is a DFT calculation (PBE-GGA) of HfCoTc after structural relaxation.

Unit cell a=5.873 b=5.873 c=5.873 alpha=90.00 beta=90.00 gamma=90.00
Sites, in units of the cell vectors:
Hf: 0.000 0.000 0.000
Hf: 0.000 0.500 0.500
Hf: 0.500 0.000 0.500
Hf: 0.500 0.500 0.000
Co: 0.250 0.250 0.250
Co: 0.250 0.750 0.750
Co: 0.750 0.250 0.750
Co: 0.750 0.750 0.250
Tc: 0.000 0.000 0.500
Tc: 0.000 0.500 0.000
Tc: 0.500 0.000 0.000
Tc: 0.500 0.500 0.500

*ii*
The following is a DFT calculation (PBE-GGA) of HfCoTc after structural relaxation.

Unit cell a=5.978 b=5.978 c=5.978 alpha=90.00 beta=90.00 gamma=90.00
Sites, in units of the cell vectors:
Hf: 0.000 0.000 0.000
Hf: 0.000 0.500 0.500
Hf: 0.500 0.000 0.500
Hf: 0.500 0.500 0.000
Co: 0.250 0.250 0.750
Co: 0.250 0.750 0.250
Co: 0.750 0.250 0.250
Co: 0.750 0.750 0.750
Tc: 0.250 0.250 0.250
Tc: 0.250 0.750 0.750
Tc: 0.750 0.250 0.750
Tc: 0.750 0.750 0.250

Most stable to least stable, the ends of the list are *i* and *ii*.

*i*
The following is a DFT calculation (PBE-GGA) of Tm3Hf3CoTe2 after structural relaxation.

Unit cell a=8.058 b=8.058 c=3.598 alpha=90.00 beta=90.00 gamma=120.00
Sites, in units of the cell vectors:
Tm: 0.000 0.243 0.000
Tm: 0.243 0.000 0.000
Tm: 0.757 0.757 0.000
Hf: 0.000 0.598 0.500
Hf: 0.402 0.402 0.500
Hf: 0.598 0.000 0.500
Co: 0.000 0.000 0.500
Te: 0.333 0.667 0.000
Te: 0.667 0.333 0.000

*ii*
The following is a DFT calculation (PBE-GGA) of Tm3Hf3CoTe2 after structural relaxation.

Unit cell a=7.952 b=7.952 c=3.757 alpha=90.00 beta=90.00 gamma=120.00
Sites, in units of the cell vectors:
Tm: 0.000 0.605 0.000
Tm: 0.395 0.395 0.000
Tm: 0.605 0.000 0.000
Hf: 0.000 0.228 0.500
Hf: 0.228 0.000 0.500
Hf: 0.772 0.772 0.500
Co: 0.000 0.000 0.000
Te: 0.333 0.667 0.500
Te: 0.667 0.333 0.500

Most stable to least stable, the ends of the list are *ii* and *i*.

*i*
The following is a DFT calculation (PBE-GGA) of Y3Hf3CoTe2 after structural relaxation.

Unit cell a=8.007 b=8.007 c=3.816 alpha=90.00 beta=90.00 gamma=120.00
Sites, in units of the cell vectors:
Y: 0.000 0.398 0.000
Y: 0.398 0.000 0.000
Y: 0.602 0.602 0.000
Hf: 0.000 0.776 0.500
Hf: 0.224 0.224 0.500
Hf: 0.776 0.000 0.500
Co: 0.000 0.000 0.000
Te: 0.333 0.667 0.500
Te: 0.667 0.333 0.500

*ii*
The following is a DFT calculation (PBE-GGA) of Y3Hf3CoTe2 after structural relaxation.

Unit cell a=8.132 b=8.132 c=3.624 alpha=90.00 beta=90.00 gamma=120.00
Sites, in units of the cell vectors:
Y: 0.000 0.755 0.000
Y: 0.245 0.245 0.000
Y: 0.755 0.000 0.000
Hf: 0.000 0.403 0.500
Hf: 0.403 0.000 0.500
Hf: 0.597 0.597 0.500
Co: 0.000 0.000 0.500
Te: 0.333 0.667 0.000
Te: 0.667 0.333 0.000

Most stable to least stable, the ends of the list are *i* and *ii*.